A plane-wave DFT calculation with GGA-PBE was carried out for Pu2Al4SiAu3 after structural relaxation.

Computed properties:
Density of states at the Fermi level in states/eV/f.u.: 27.32
Crystal system: tetragonal
Volume in Å³/f.u.: 198.1
Raw total energy in eV/atom: -6.33
Total moment in μB/atom: 1.09
Space group: P-4m2 (115)

```
Pu2Al4SiAu3
1.0
-3.6037 -2.3070 -0.6642
2.1069 -2.4650 -2.8696
2.8081 -6.6166 7.7456
Pu Al Si Au
2 4 1 3
Direct
0.5000 0.0000 0.2589
0.0000 0.5000 0.7411
0.5000 0.5000 0.0000
0.0000 0.0000 0.0000
0.5000 0.0000 0.6336
0.0000 0.5000 0.3664
0.5000 0.5000 0.5000
0.0000 0.0000 0.5000
0.5000 0.0000 0.8672
0.0000 0.5000 0.1328
```


A plane-wave DFT calculation with GGA-PBE was carried out for MnHSN2 after structural relaxation.

Computed properties:
Density of states at the Fermi level in states/eV/f.u.: 2.03
Relative energy among the computed polymorphs in kcal/mol of atoms: 14.09
Crystal system: tetragonal
Volume in Å³/f.u.: 45.2
Total moment in μB/atom: 0.66
Space group: P4/mmm (123)

```
MnHSN2
1.0
3.8429 0.0000 0.0000
0.0000 3.8429 0.0000
0.0000 0.0000 3.0612
H S Mn N
1 1 1 2
Direct
0.0000 0.0000 0.0000
0.0000 0.0000 0.5000
0.5000 0.5000 0.5000
0.0000 0.5000 0.0000
0.5000 0.0000 0.0000
```


A plane-wave DFT calculation with GGA-PBE was carried out for H3Br2F2 after structural relaxation.

Computed properties:
Density of states at the Fermi level in states/eV/f.u.: 0.75
Crystal system: monoclinic
Volume in Å³/f.u.: 134.3
Raw total energy in eV/atom: -3.33
Total moment in μB/atom: 0.07
Space group: C2/m (12)

```
H3Br2F2
1.0
5.8324 0.0000 0.0000
0.0000 5.4751 -2.1968
-2.9162 -3.6523 5.6702
H Br F
3 2 2
Direct
0.0000 0.0000 0.0000
0.1751 0.5672 0.3502
0.8249 0.4328 0.6498
0.2525 0.9908 0.5051
0.7475 0.0092 0.4949
0.1417 0.3203 0.2835
0.8583 0.6797 0.7165
```


A plane-wave DFT calculation with GGA-PBE was carried out for SmTlIr after structural relaxation.

Computed properties:
Density of states at the Fermi level in states/eV/f.u.: 1.36
Calculated formation energy in eV/atom: -0.335
Crystal system: cubic
Volume in Å³/f.u.: 77.2
Total moment in μB/atom: 0.00
Space group: F-43m (216)

```
SmTlIr
1.0
4.7795 0.0000 0.0000
2.3897 4.1391 0.0000
2.3897 1.3797 3.9024
Tl Ir Sm
1 1 1
Direct
0.0000 0.0000 0.0000
0.2500 0.2500 0.2500
0.5000 0.5000 0.5000
```


A plane-wave DFT calculation with GGA-PBE was carried out for Pr2ZnAu after structural relaxation.

Computed properties:
Density of states at the Fermi level in states/eV/f.u.: 3.77
Calculated formation energy in eV/atom: -0.526
Crystal system: orthorhombic
Volume in Å³/f.u.: 103.9
Total moment in μB/atom: 0.00
Space group: Pmma (51)

```
Pr2ZnAu
1.0
-0.3285 -3.7333 0.0071
2.3321 -0.2142 -4.7072
9.4059 -0.8187 4.6971
Pr Zn Au
4 2 2
Direct
0.0000 0.2500 0.1243
0.0000 0.7500 0.8757
0.0000 0.2500 0.6248
0.0000 0.7500 0.3752
0.5000 0.2500 0.3829
0.5000 0.7500 0.6171
0.5000 0.2500 0.8684
0.5000 0.7500 0.1316
```


A plane-wave DFT calculation with GGA-PBE was carried out for HgTeIr2 after structural relaxation.

Computed properties:
Density of states at the Fermi level in states/eV/f.u.: 2.95
Relative energy among the computed polymorphs in kcal/mol of atoms: 3.59
Crystal system: monoclinic
Volume in Å³/f.u.: 74.6
Total moment in μB/atom: 0.00
Space group: P2/m (10)

```
HgTeIr2
1.0
-0.2175 -1.8839 -2.5700
-4.4769 -2.5674 2.2608
-5.3916 1.1070 -0.3552
Hg Ir Te
1 2 1
Direct
0.0000 0.0000 0.5000
0.0000 0.0000 0.0000
0.5000 0.5000 0.0000
0.5000 0.5000 0.5000
```


A plane-wave DFT calculation with GGA-PBE was carried out for PrMgAgIr after structural relaxation.

Computed properties:
Density of states at the Fermi level in states/eV/f.u.: 2.32
Calculated formation energy in eV/atom: -0.291
Crystal system: cubic
Volume in Å³/f.u.: 84.6
Total moment in μB/atom: 0.00
Space group: F-43m (216)

```
PrMgAgIr
1.0
-4.8807 -0.4679 0.4805
-2.4678 -3.1479 -2.8761
-1.9025 -4.1185 1.9207
Pr Mg Ir Ag
1 1 1 1
Direct
0.7500 0.7500 0.7500
0.2500 0.2500 0.2500
0.5000 0.5000 0.5000
0.0000 0.0000 0.0000
```


A plane-wave DFT calculation with GGA-PBE was carried out for PtAuC3 after structural relaxation.

Computed properties:
Density of states at the Fermi level in states/eV/f.u.: 3.98
Calculated formation energy in eV/atom: 2.572
Relative energy among the computed polymorphs in kcal/mol of atoms: 0.00
Crystal system: cubic
Volume in Å³/f.u.: 66.7
Total moment in μB/atom: 0.00
Space group: Pm-3m (221)

```
PtAuC3
1.0
4.0547 0.0000 0.0000
0.0000 4.0547 0.0000
0.0000 0.0000 4.0547
C Au Pt
3 1 1
Direct
0.0000 0.5000 0.0000
0.0000 0.0000 0.5000
0.5000 0.0000 0.0000
0.5000 0.5000 0.5000
0.0000 0.0000 0.0000
```